No. 1
Hf2ZrNi3As4Pd | GGA-PBE | relaxed

Results
Total moment, μB/f.u.: 0.0
Energy above the most stable polymorph in this dataset, meV per atom: 2

Lattice parameters (Å, degrees): 6.5456 3.8317 7.3890 90.00 90.05 90.00
Positions (direct):
As (0.2549, 0.5000, 0.1049)
As (0.7572, 0.5000, 0.3655)
As (0.2408, 0.0000, 0.6322)
As (0.7511, 0.0000, 0.8919)
Hf (0.4647, 0.0000, 0.3133)
Hf (0.5276, 0.5000, 0.6919)
Ni (0.6230, 0.5000, 0.0600)
Ni (0.1663, 0.5000, 0.4410)
Ni (0.3777, 0.0000, 0.9412)
Pd (0.8572, 0.0000, 0.5714)
Zr (0.9775, 0.0000, 0.1839)

=====

No. 2
CsGdSeS | GGA-PBE | relaxed

Results
Total moment, μB/f.u.: 0.0

Lattice parameters (Å, degrees): 4.2135 4.2135 16.4345 90.00 90.00 120.00
Positions (direct):
Cs (0.0000, 0.0000, 0.0000)
Cs (0.3333, 0.6667, 0.5000)
Gd (0.6667, 0.3333, 0.2568)
Gd (0.6667, 0.3333, 0.7432)
S (0.0000, 0.0000, 0.3441)
S (0.0000, 0.0000, 0.6559)
Se (0.3333, 0.6667, 0.1589)
Se (0.3333, 0.6667, 0.8411)

=====

No. 3
CsMoPtAu | GGA-PBE | relaxed

Results
Total moment, μB/f.u.: 3.7
Energy above the most stable polymorph in this dataset, meV per atom: 0

Lattice parameters (Å, degrees): 5.0986 5.0986 5.0986 60.00 60.00 60.00
Positions (direct):
Au (0.7500, 0.7500, 0.7500)
Cs (0.5000, 0.5000, 0.5000)
Mo (0.0000, 0.0000, 0.0000)
Pt (0.2500, 0.2500, 0.2500)

=====

No. 4
AgSbPbS3 | GGA-PBE | relaxed

Results
Energy above the most stable polymorph in this dataset, meV per atom: 31

Lattice parameters (Å, degrees): 8.0738 12.2463 5.8255 90.00 89.55 90.00
Positions (direct):
Ag (0.1076, 0.4071, 0.2822)
Ag (0.6076, 0.0929, 0.2822)
Ag (0.3924, 0.9071, 0.7178)
Ag (0.8924, 0.5929, 0.7178)
Pb (0.1475, 0.0789, 0.2373)
Pb (0.6475, 0.4211, 0.2373)
Pb (0.3525, 0.5789, 0.7627)
Pb (0.8525, 0.9211, 0.7627)
S (0.3616, 0.2733, 0.1918)
S (0.8616, 0.2267, 0.1918)
S (0.4213, 0.9108, 0.2568)
S (0.9213, 0.5892, 0.2568)
S (0.3928, 0.5947, 0.2644)
S (0.8928, 0.9053, 0.2644)
S (0.1072, 0.0947, 0.7356)
S (0.6072, 0.4053, 0.7356)
S (0.0787, 0.4108, 0.7432)
S (0.5787, 0.0892, 0.7432)
S (0.1384, 0.7733, 0.8082)
S (0.6384, 0.7267, 0.8082)
Sb (0.1168, 0.7530, 0.2441)
Sb (0.6168, 0.7470, 0.2441)
Sb (0.8832, 0.2470, 0.7559)
Sb (0.3832, 0.2530, 0.7559)

=====

The records above give, respectively, density values of 9.23 5.27 11.00 6.15 g/cm3.
The records above give, respectively, total DFT energy (no corrections) values of -0.5176 -0.3719 -0.3047 -0.3016 Ry per atom.